Entry 1:
Density functional theory data (GGA-PBEsol) for a relaxed Tm8In3Co crystal.

Properties
ΔH_f (0 K)   -390 meV/atom

abc: 10.0561 10.0561 6.7810
angles: 90.00 90.00 120.00
Space group P6_3mc (No. 186)
Unique sites:
Tm 0.0000 0.0000 0.2804 [2 per cell]
Tm 0.0682 0.5341 0.2913 [6 per cell]
Tm 0.1786 0.3572 0.0000 [6 per cell]
Tm 0.3333 0.6667 0.6811 [2 per cell]
In 0.1628 0.3257 0.5383 [6 per cell]
Co 0.3333 0.6667 0.0698 [2 per cell]

---

Entry 2:
Density functional theory data (GGA-PBEsol) for a relaxed TmIn5Co crystal.

Properties
ΔH_f (0 K)   -278 meV/atom

abc: 4.478 4.478 7.329
angles: 90.00 90.00 90.00
Space group P4/mmm (No. 123)
Unique sites:
Tm 0.000 0.000 0.000 [1 per cell]
In 0.000 0.500 0.305 [4 per cell]
In 0.500 0.500 0.000 [1 per cell]
Co 0.000 0.000 0.500 [1 per cell]

---

Entry 3:
Density functional theory data (GGA-PBEsol) for a relaxed InCo3W crystal.

Properties
ΔH_f (0 K)   2166 meV/atom

abc: 4.403 4.403 4.403
angles: 90.00 90.00 90.00
Space group Pm-3m (No. 221)
Unique sites:
In 0.000 0.000 0.000 [1 per cell]
Co 0.000 0.000 0.500 [3 per cell]
W 0.500 0.500 0.500 [1 per cell]

---

Computed calculated total energy (eV/f.u.) in order:
-60.56, -29.50, -29.17
Computed DOS(E_F) (states/eV/cell) in order:
6.497, 2.258, 5.273